1.
This record from Alexandria via LeMat-Bulk describes an optimized crystal structure of HgPRh3. The functional is PBE-GGA.

CIF file:
```
data_HgPRh3
_chemical_formula_sum 'Hg1 P1 Rh3'
_symmetry_space_group_name_H-M 'P 1'
_symmetry_Int_Tables_number 1
_cell_length_a 4.923
_cell_length_b 4.923
_cell_length_c 4.923
_cell_angle_alpha 90.00
_cell_angle_beta 90.00
_cell_angle_gamma 90.00
loop_
_symmetry_equiv_pos_as_xyz
'x,y,z'
loop_
_atom_site_label
_atom_site_type_symbol
_atom_site_fract_x
_atom_site_fract_y
_atom_site_fract_z
Hg1 Hg 0.000 0.000 0.000
P1 P 0.500 0.500 0.500
Rh1 Rh 0.500 0.000 0.000
Rh2 Rh 0.000 0.000 0.500
Rh3 Rh 0.000 0.500 0.000
```

## Properties
density: 7.5 g/cm3
spin magnetization: 2.72 μB/f.u.



2.
This record from Alexandria via LeMat-Bulk describes an optimized crystal structure of HgPRh3. The functional is PBE-GGA.

CIF file:
```
data_HgPRh3
_chemical_formula_sum 'Hg1 P1 Rh3'
_symmetry_space_group_name_H-M 'P 1'
_symmetry_Int_Tables_number 1
_cell_length_a 4.400
_cell_length_b 4.400
_cell_length_c 4.400
_cell_angle_alpha 90.00
_cell_angle_beta 90.00
_cell_angle_gamma 90.00
loop_
_symmetry_equiv_pos_as_xyz
'x,y,z'
loop_
_atom_site_label
_atom_site_type_symbol
_atom_site_fract_x
_atom_site_fract_y
_atom_site_fract_z
Rh1 Rh 0.000 0.000 0.500
P1 P 0.000 0.000 0.000
Rh2 Rh 0.500 0.000 0.000
Hg1 Hg 0.500 0.500 0.500
Rh3 Rh 0.000 0.500 0.000
```

## Properties
density: 10.5 g/cm3
spin magnetization: 0.00 μB/f.u.



Here is how they stack up, most stable first: 2, 1.



1.
This record from Alexandria via LeMat-Bulk describes an optimized crystal structure of HgPRh. The functional is PBE-GGA.

CIF file:
```
data_HgPRh
_chemical_formula_sum 'Hg1 P1 Rh1'
_symmetry_space_group_name_H-M 'P 1'
_symmetry_Int_Tables_number 1
_cell_length_a 2.959
_cell_length_b 2.959
_cell_length_c 6.052
_cell_angle_alpha 90.00
_cell_angle_beta 90.00
_cell_angle_gamma 90.00
loop_
_symmetry_equiv_pos_as_xyz
'x,y,z'
loop_
_atom_site_label
_atom_site_type_symbol
_atom_site_fract_x
_atom_site_fract_y
_atom_site_fract_z
P1 P 0.000 0.000 0.434
Rh1 Rh 0.500 0.500 0.237
Hg1 Hg 0.000 0.000 0.870
```

## Properties
density: 10.5 g/cm3
spin magnetization: 0.00 μB/f.u.



2.
This record from Alexandria via LeMat-Bulk describes an optimized crystal structure of HgPRh. The functional is PBE-GGA.

CIF file:
```
data_HgPRh
_chemical_formula_sum 'Hg2 P2 Rh2'
_symmetry_space_group_name_H-M 'P 1'
_symmetry_Int_Tables_number 1
_cell_length_a 5.962
_cell_length_b 2.988
_cell_length_c 7.970
_cell_angle_alpha 90.00
_cell_angle_beta 121.55
_cell_angle_gamma 90.00
loop_
_symmetry_equiv_pos_as_xyz
'x,y,z'
loop_
_atom_site_label
_atom_site_type_symbol
_atom_site_fract_x
_atom_site_fract_y
_atom_site_fract_z
Rh1 Rh 0.309 0.000 0.352
P1 P 0.380 0.500 0.170
Hg1 Hg 0.852 0.500 0.236
P2 P 0.380 0.000 0.670
Rh2 Rh 0.309 0.500 0.852
Hg2 Hg 0.852 0.000 0.736
```

## Properties
density: 9.2 g/cm3
spin magnetization: 0.00 μB/f.u.



Here is how they stack up, most stable first: 1, 2.



1.
This record from Alexandria via LeMat-Bulk describes an optimized crystal structure of HgPRh. The functional is PBE-GGA.

CIF file:
```
data_HgPRh
_chemical_formula_sum 'Hg1 P1 Rh1'
_symmetry_space_group_name_H-M 'P 1'
_symmetry_Int_Tables_number 1
_cell_length_a 6.583
_cell_length_b 6.583
_cell_length_c 6.583
_cell_angle_alpha 154.27
_cell_angle_beta 154.27
_cell_angle_gamma 36.70
loop_
_symmetry_equiv_pos_as_xyz
'x,y,z'
loop_
_atom_site_label
_atom_site_type_symbol
_atom_site_fract_x
_atom_site_fract_y
_atom_site_fract_z
Hg1 Hg 0.012 0.012 0.000
P1 P 0.294 0.294 0.000
Rh1 Rh 0.694 0.694 0.000
```

## Properties
density: 10.3 g/cm3
spin magnetization: 0.00 μB/f.u.



2.
This record from Alexandria via LeMat-Bulk describes an optimized crystal structure of HgPRh. The functional is PBE-GGA.

CIF file:
```
data_HgPRh
_chemical_formula_sum 'Hg1 P1 Rh1'
_symmetry_space_group_name_H-M 'P 1'
_symmetry_Int_Tables_number 1
_cell_length_a 4.406
_cell_length_b 4.406
_cell_length_c 4.406
_cell_angle_alpha 60.00
_cell_angle_beta 60.00
_cell_angle_gamma 60.00
loop_
_symmetry_equiv_pos_as_xyz
'x,y,z'
loop_
_atom_site_label
_atom_site_type_symbol
_atom_site_fract_x
_atom_site_fract_y
_atom_site_fract_z
P1 P 0.000 0.000 0.000
Hg1 Hg 0.750 0.750 0.750
Rh1 Rh 0.500 0.500 0.500
```

## Properties
density: 9.2 g/cm3
spin magnetization: 0.00 μB/f.u.



3.
This record from Alexandria via LeMat-Bulk describes an optimized crystal structure of HgPRh. The functional is PBE-GGA.

CIF file:
```
data_HgPRh
_chemical_formula_sum 'Hg2 P2 Rh2'
_symmetry_space_group_name_H-M 'P 1'
_symmetry_Int_Tables_number 1
_cell_length_a 4.762
_cell_length_b 3.077
_cell_length_c 8.056
_cell_angle_alpha 90.00
_cell_angle_beta 96.98
_cell_angle_gamma 90.00
loop_
_symmetry_equiv_pos_as_xyz
'x,y,z'
loop_
_atom_site_label
_atom_site_type_symbol
_atom_site_fract_x
_atom_site_fract_y
_atom_site_fract_z
P1 P 0.635 0.000 0.547
P2 P 0.635 0.500 0.047
Rh1 Rh 0.661 0.000 0.258
Hg1 Hg 0.163 0.000 0.792
Hg2 Hg 0.163 0.500 0.292
Rh2 Rh 0.661 0.500 0.758
```

## Properties
density: 9.5 g/cm3
spin magnetization: 0.00 μB/f.u.



Here is how they stack up, most stable first: 1, 3, 2.